A plane-wave DFT calculation with GGA-PBE was carried out for a geometry-optimized AcEuHgAs structure.

a = 5.501 Å, b = 5.501 Å, c = 5.501 Å
α = 60.00°, β = 60.00°, γ = 60.00°
Atoms (fractional coordinates):
Hg1 0.500 0.500 0.500
As1 0.000 0.000 0.000
Ac1 0.750 0.750 0.750
Eu1 0.250 0.250 0.250

Calculated values
formation enthalpy at 0 K: -0.71 eV per atom


A plane-wave DFT calculation with GGA-PBE was carried out for a geometry-optimized LiZn4Ag2 structure.

a = 5.801 Å, b = 5.425 Å, c = 5.425 Å
α = 73.38°, β = 57.68°, γ = 57.68°
Atoms (fractional coordinates):
Zn1 0.500 0.000 0.500
Zn2 0.000 0.000 0.500
Zn3 0.500 0.500 0.000
Zn4 0.000 0.500 0.000
Ag1 0.000 0.500 0.500
Ag2 0.500 0.500 0.500
Li1 0.000 0.000 0.000

Calculated values
formation enthalpy at 0 K: 0.01 eV per atom


A plane-wave DFT calculation with GGA-PBE was carried out for a geometry-optimized Tb3PrNdSm structure.

a = 5.684 Å, b = 10.492 Å, c = 7.058 Å
α = 90.08°, β = 90.00°, γ = 105.72°
Atoms (fractional coordinates):
Tb1 0.477 0.955 0.254
Tb2 0.165 0.330 0.744
Tb3 0.523 0.045 0.746
Tb4 0.221 0.442 0.249
Tb5 0.779 0.558 0.751
Tb6 0.835 0.670 0.256
Pr1 0.647 0.294 0.033
Pr2 0.353 0.706 0.967
Sm1 0.648 0.296 0.463
Sm2 0.352 0.704 0.537
Nd1 0.055 0.111 0.255
Nd2 0.945 0.889 0.745

Calculated values
formation enthalpy at 0 K: 0.18 eV per atom


A plane-wave DFT calculation with GGA-PBE was carried out for a geometry-optimized CdReBiSe2 structure.

a = 5.606 Å, b = 5.434 Å, c = 5.606 Å
α = 90.00°, β = 90.00°, γ = 90.00°
Atoms (fractional coordinates):
Re1 0.000 0.500 0.000
Se1 0.500 0.000 0.000
Se2 0.000 0.000 0.500
Bi1 0.000 0.000 0.000
Cd1 0.500 0.500 0.500

Calculated values
formation energy without anion corrections: 1.395 eV/atom


A plane-wave DFT calculation with GGA-PBE was carried out for a geometry-optimized BaZnCd4 structure.

a = 5.174 Å, b = 5.174 Å, c = 6.451 Å
α = 90.00°, β = 90.00°, γ = 90.00°
Atoms (fractional coordinates):
Cd1 0.500 0.000 0.000
Cd2 0.000 0.500 0.000
Cd3 0.500 0.500 0.273
Cd4 0.500 0.500 0.727
Ba1 0.000 0.000 0.500
Zn1 0.000 0.000 0.000

Calculated values
formation enthalpy at 0 K: -0.10 eV per atom


A plane-wave DFT calculation with GGA-PBE was carried out for a geometry-optimized NdTlZnIn structure.

a = 5.244 Å, b = 5.244 Å, c = 5.244 Å
α = 60.00°, β = 60.00°, γ = 60.00°
Atoms (fractional coordinates):
Nd1 0.250 0.250 0.250
Zn1 0.000 0.000 0.000
In1 0.750 0.750 0.750
Tl1 0.500 0.500 0.500

Calculated values
formation enthalpy at 0 K: -0.15 eV per atom


A plane-wave DFT calculation with GGA-PBE was carried out for a geometry-optimized La4Sm3Dy5 structure.

a = 6.042 Å, b = 8.705 Å, c = 9.787 Å
α = 105.33°, β = 72.02°, γ = 69.69°
Atoms (fractional coordinates):
La1 0.830 0.957 0.383
La2 0.170 0.043 0.617
La3 0.141 0.773 0.944
La4 0.859 0.227 0.056
Dy1 0.214 0.456 0.115
Dy2 0.786 0.544 0.885
Dy3 0.500 0.500 0.500
Dy4 0.629 0.941 0.800
Dy5 0.371 0.059 0.200
Sm1 0.000 0.500 0.500
Sm2 0.478 0.310 0.733
Sm3 0.522 0.690 0.267

Calculated values
formation enthalpy at 0 K: 0.21 eV per atom


A plane-wave DFT calculation with GGA-PBE was carried out for a geometry-optimized ScNi2As2 structure.

a = 7.139 Å, b = 7.139 Å, c = 2.964 Å
α = 90.00°, β = 90.00°, γ = 90.00°
Atoms (fractional coordinates):
Ni1 0.362 0.138 0.500
Ni2 0.862 0.362 0.500
Ni3 0.138 0.638 0.500
Ni4 0.638 0.862 0.500
As1 0.846 0.654 0.000
As2 0.154 0.346 0.000
As3 0.346 0.846 0.000
As4 0.654 0.154 0.000
Sc1 0.000 0.000 0.000
Sc2 0.500 0.500 0.000

Calculated values
formation enthalpy at 0 K: -0.38 eV per atom


A plane-wave DFT calculation with GGA-PBE was carried out for a geometry-optimized Y2GaCu2 structure.

a = 4.246 Å, b = 5.593 Å, c = 9.571 Å
α = 86.82°, β = 77.18°, γ = 67.69°
Atoms (fractional coordinates):
Y1 0.323 0.694 0.659
Y2 0.086 0.718 0.110
Y3 0.677 0.306 0.341
Y4 0.914 0.282 0.890
Ga1 0.620 0.106 0.654
Ga2 0.380 0.894 0.346
Cu1 0.626 0.861 0.887
Cu2 0.923 0.716 0.437
Cu3 0.374 0.139 0.113
Cu4 0.077 0.284 0.563

Calculated values
formation enthalpy at 0 K: -0.39 eV per atom


A plane-wave DFT calculation with GGA-PBE was carried out for a geometry-optimized LiAc3Ho3Se8 structure.

a = 8.360 Å, b = 8.360 Å, c = 8.554 Å
α = 119.25°, β = 90.00°, γ = 120.00°
Atoms (fractional coordinates):
Se1 0.260 0.519 0.279
Se2 0.740 0.481 0.721
Se3 0.243 0.486 0.725
Se4 0.262 0.019 0.275
Se5 0.757 0.019 0.275
Se6 0.243 0.981 0.725
Se7 0.738 0.981 0.725
Se8 0.757 0.514 0.275
Ac1 0.000 0.000 0.000
Ac2 0.000 0.500 0.000
Ac3 0.500 0.500 0.000
Ho1 0.000 0.500 0.500
Ho2 0.500 0.500 0.500
Ho3 0.500 0.000 0.500
Li1 0.000 0.000 0.500

Calculated values
formation energy without anion corrections: -1.804 eV/atom


A plane-wave DFT calculation with GGA-PBE was carried out for a geometry-optimized SnW2SCl structure.

a = 5.358 Å, b = 4.993 Å, c = 5.358 Å
α = 90.00°, β = 90.00°, γ = 90.00°
Atoms (fractional coordinates):
W1 0.500 0.000 0.000
W2 0.000 0.000 0.500
Cl1 0.500 0.500 0.500
Sn1 0.000 0.000 0.000
S1 0.000 0.500 0.000

Calculated values
formation energy without anion corrections: 2.289 eV/atom


A plane-wave DFT calculation with GGA-PBE was carried out for a geometry-optimized Pm2NpCuTe5 structure.

a = 4.306 Å, b = 9.767 Å, c = 13.024 Å
α = 90.00°, β = 90.00°, γ = 102.73°
Atoms (fractional coordinates):
Te1 0.500 0.000 0.786
Te2 0.043 0.086 0.065
Te3 0.360 0.720 0.000
Te4 0.500 0.000 0.286
Te5 0.315 0.629 0.340
Te6 0.711 0.423 0.175
Te7 0.685 0.371 0.840
Te8 0.957 0.914 0.565
Te9 0.640 0.280 0.500
Te10 0.289 0.577 0.675
Pm1 0.876 0.752 0.806
Pm2 0.891 0.782 0.185
Pm3 0.124 0.248 0.306
Pm4 0.109 0.218 0.685
Np1 0.195 0.390 0.009
Np2 0.805 0.610 0.509
Cu1 0.571 0.142 0.958
Cu2 0.429 0.858 0.458

Calculated values
formation energy without anion corrections: -0.967 eV/atom


| no. | E_tot (eV per atom) | Fermi-level density of states (states/eV/f.u.) |
| --- | --- | --- |
| 1 | -5.55 | 4.14 |
| 2 | -1.80 | 1.86 |
| 3 | -4.52 | 8.36 |
| 4 | -3.45 | 5.01 |
| 5 | -1.24 | 4.47 |
| 6 | -2.94 | 4.75 |
| 7 | -4.53 | 20.30 |
| 8 | -5.82 | 2.98 |
| 9 | -5.22 | 4.96 |
| 10 | -5.53 | 4.37 |
| 11 | -4.89 | 6.34 |
| 12 | -5.66 | 9.31 |